No. 1
DFT (PBE-GGA) results for a relaxed KTl2PdBr6 crystal.

Values from the calculation:
E ... -2.86 eV per atom
Calculated density ... 4.96 g cm⁻³
Formation energy without anion corrections ... -757 meV per atom

Lattice parameters (Å, degrees): 7.347 8.147 13.242 90.00 119.24 90.00
Space group P2_1/c (No. 14)
Inequivalent atoms, fractional coordinates:
1 K 0.000 0.000 0.000 x2
2 Tl 0.300 0.093 0.771 x4
3 Pd 0.500 0.000 0.500 x2
4 Br 0.156 0.034 0.277 x4
5 Br 0.272 0.650 0.061 x4
6 Br 0.415 0.230 0.061 x4



No. 2
DFT (PBE-GGA) results for a relaxed K2TlPdBr6 crystal.

Values from the calculation:
E ... -2.94 eV per atom
Calculated density ... 4.31 g cm⁻³
Formation energy without anion corrections ... -959 meV per atom

Lattice parameters (Å, degrees): 7.623 7.961 13.305 90.00 124.12 90.00
Space group P2_1/c (No. 14)
Inequivalent atoms, fractional coordinates:
1 K 0.223 0.073 0.246 x4
2 Tl 0.500 0.000 0.000 x2
3 Pd 0.000 0.000 0.500 x2
4 Br 0.140 0.224 0.959 x4
5 Br 0.230 0.680 0.954 x4
6 Br 0.313 0.012 0.728 x4



No. 3
DFT (PBE-GGA) results for a relaxed K2PmBr6 crystal.

Values from the calculation:
E ... -3.41 eV per atom
Calculated density ... 3.98 g cm⁻³
Formation energy without anion corrections ... -1527 meV per atom

Lattice parameters (Å, degrees): 4.585 14.910 8.567 90.00 90.00 90.00
Space group Amm2 (No. 38)
Inequivalent atoms, fractional coordinates:
1 K 0.000 0.167 0.000 x4
2 Pm 0.500 0.000 0.503 x2
3 Br 0.000 0.000 0.742 x2
4 Br 0.000 0.119 0.381 x4
5 Br 0.500 0.000 0.144 x2
6 Br 0.500 0.180 0.679 x4



No. 4
DFT (PBE-GGA) results for a relaxed KPmBr4 crystal.

Values from the calculation:
E ... -3.92 eV per atom
Calculated density ... 3.36 g cm⁻³
Formation energy without anion corrections ... -1826 meV per atom
Energy above the lowest structure with this stoichiometry ... 0 meV per atom

Lattice parameters (Å, degrees): 13.621 4.431 8.457 90.00 102.51 90.00
Space group C2/m (No. 12)
Inequivalent atoms, fractional coordinates:
1 K 0.000 0.000 0.000 x2
2 Pm 0.000 0.500 0.500 x2
3 Br 0.117 0.500 0.821 x4
4 Br 0.119 0.000 0.409 x4



No. 5
DFT (PBE-GGA) results for a relaxed K3PmBr8 crystal.

Values from the calculation:
E ... -3.16 eV per atom
Calculated density ... 3.37 g cm⁻³
Formation energy without anion corrections ... -1370 meV per atom

Lattice parameters (Å, degrees): 7.447 7.447 16.017 90.00 90.00 90.00
Space group I4/mmm (No. 139)
Inequivalent atoms, fractional coordinates:
1 K 0.000 0.000 0.000 x2
2 K 0.000 0.500 0.250 x4
3 Pm 0.000 0.000 0.500 x2
4 Br 0.231 0.231 0.386 x16



No. 6
DFT (PBE-GGA) results for a relaxed KPm3Br8 crystal.

Values from the calculation:
E ... -4.13 eV per atom
Calculated density ... 3.94 g cm⁻³
Formation energy without anion corrections ... -1735 meV per atom

Lattice parameters (Å, degrees): 8.1086 8.1086 24.7380 90.00 90.00 120.00
Space group R-3m (No. 166, hexagonal axes)
Inequivalent atoms, fractional coordinates:
1 K 0.0000 0.0000 0.0000 x3
2 Pm 0.0000 0.5000 0.5000 x9
3 Br 0.0000 0.0000 0.2424 x6
4 Br 0.0041 0.5020 0.2371 x18



Question: calculated density of number 6 (KPm3Br8)?
Answer: 3.94 g cm⁻³